<1>
ZnHgC3 | GGA-PBE | relaxed

density of states at the Fermi level	0.5531	states/eV/atom
SG	Pm-3m (221)

Unit cell a=4.076 b=4.076 c=4.076 alpha=90.00 beta=90.00 gamma=90.00
Fractional coordinates of all 5 atoms:
C 0.000 0.500 0.000
C 0.000 0.000 0.500
C 0.500 0.000 0.000
Zn 0.000 0.000 0.000
Hg 0.500 0.500 0.500

=====

<2>
ZnHgC3 | GGA-PBE | relaxed

density of states at the Fermi level	0.8591	states/eV/atom
SG	Pm-3m (221)

Unit cell a=4.352 b=4.352 c=4.352 alpha=90.00 beta=90.00 gamma=90.00
Fractional coordinates of all 5 atoms:
C 0.000 0.500 0.000
C 0.000 0.000 0.500
C 0.500 0.000 0.000
Zn 0.500 0.500 0.500
Hg 0.000 0.000 0.000

=====

Which of them is the most stable, and which is the least stable? <1> and <2>, in that order.

=====

<1>
ZnHg3C | GGA-PBE | relaxed

density of states at the Fermi level	0.2899	states/eV/atom
SG	Pm-3m (221)

Unit cell a=5.254 b=5.254 c=5.254 alpha=90.00 beta=90.00 gamma=90.00
Fractional coordinates of all 5 atoms:
C 0.500 0.500 0.500
Zn 0.000 0.000 0.000
Hg 0.000 0.500 0.000
Hg 0.000 0.000 0.500
Hg 0.500 0.000 0.000

=====

<2>
ZnHg3C | GGA-PBE | relaxed

density of states at the Fermi level	0.6827	states/eV/atom
SG	Pm-3m (221)

Unit cell a=4.819 b=4.819 c=4.819 alpha=90.00 beta=90.00 gamma=90.00
Fractional coordinates of all 5 atoms:
C 0.000 0.000 0.000
Zn 0.500 0.500 0.500
Hg 0.000 0.500 0.000
Hg 0.000 0.000 0.500
Hg 0.500 0.000 0.000

=====

Which of them is the most stable, and which is the least stable? <2> and <1>, in that order.

=====

<1>
Ho3C2 | GGA-PBE | relaxed

density of states at the Fermi level	0.4724	states/eV/atom
SG	R-3c (167)

Unit cell a=6.164 b=6.164 c=6.840 alpha=63.21 beta=63.21 gamma=60.00
Fractional coordinates of all 10 atoms:
C 0.844 0.844 0.467
C 0.344 0.344 0.967
C 0.156 0.156 0.533
C 0.656 0.656 0.033
Ho 0.063 0.750 0.750
Ho 0.750 0.437 0.750
Ho 0.437 0.063 0.750
Ho 0.250 0.563 0.250
Ho 0.563 0.937 0.250
Ho 0.937 0.250 0.250

=====

<2>
Ho3C2 | GGA-PBE | relaxed

density of states at the Fermi level	0.3334	states/eV/atom
SG	P-3m1 (164)

Unit cell a=3.601 b=3.601 c=9.190 alpha=90.00 beta=90.00 gamma=120.00
Fractional coordinates of all 5 atoms:
Ho 0.000 0.000 0.000
Ho 0.333 0.667 0.296
Ho 0.667 0.333 0.704
C 0.333 0.667 0.827
C 0.667 0.333 0.173

=====

Which of them is the most stable, and which is the least stable? <2> and <1>, in that order.

=====

<1>
Ho6In2C | GGA-PBE | relaxed

density of states at the Fermi level	0.9461	states/eV/atom
SG	Amm2 (38)

Unit cell a=3.569 b=8.634 c=8.631 alpha=120.01 beta=90.00 gamma=90.00
Fractional coordinates of all 9 atoms:
Ho 0.500 0.591 0.000
Ho 0.500 0.409 0.408
Ho 0.500 0.001 0.592
Ho 0.000 0.214 0.000
Ho 0.000 0.785 0.785
Ho 0.000 0.000 0.215
In 0.000 0.334 0.666
In 0.000 0.668 0.334
C 0.500 0.000 0.000

=====

<2>
Ho6In2C | GGA-PBE | relaxed

density of states at the Fermi level	0.7485	states/eV/atom
SG	Fm-3m (225)

Unit cell a=6.891 b=6.891 c=6.892 alpha=60.00 beta=60.00 gamma=60.00
Fractional coordinates of all 9 atoms:
Ho 0.255 0.255 0.745
Ho 0.255 0.745 0.255
Ho 0.745 0.255 0.745
Ho 0.745 0.255 0.255
Ho 0.255 0.745 0.745
Ho 0.745 0.745 0.255
In 0.250 0.250 0.250
In 0.750 0.750 0.750
C 0.500 0.500 0.500

=====

Which of them is the most stable, and which is the least stable? <2> and <1>, in that order.